BaCuRu5O11 PBEsol relaxed; space group = P6_3/mmc; calculated density = 7.30 g cm⁻³; E_form (uncorrected) = -1.1642 eV per atom; E_tot = -7.5579 eV/atom
1.0
5.717 0.000 0.000
-2.858 4.951 0.000
0.000 0.000 14.174
Ba Cu Ru O
2 2 10 22
direct
0.333 0.667 0.250
0.667 0.333 0.750
0.333 0.667 0.750
0.667 0.333 0.250
0.000 0.000 0.152
0.000 0.000 0.348
0.000 0.000 0.652
0.000 0.000 0.848
0.000 0.500 0.000
0.000 0.500 0.500
0.500 0.000 0.000
0.500 0.000 0.500
0.500 0.500 0.000
0.500 0.500 0.500
0.146 0.291 0.750
0.146 0.854 0.750
0.168 0.335 0.081
0.168 0.335 0.419
0.168 0.832 0.081
0.168 0.832 0.419
0.291 0.146 0.250
0.333 0.667 0.584
0.333 0.667 0.916
0.335 0.168 0.581
0.335 0.168 0.919
0.665 0.832 0.081
0.665 0.832 0.419
0.667 0.333 0.084
0.667 0.333 0.416
0.709 0.854 0.750
0.832 0.168 0.581
0.832 0.168 0.919
0.832 0.665 0.581
0.832 0.665 0.919
0.854 0.146 0.250
0.854 0.709 0.250